<P>
! HSe3I | Alexandria via LeMat-Bulk | PBE-GGA | optimized geometry; values from VASP
&SYSTEM
  ibrav = 0, nat = 5, ntyp = 3
/
ATOMIC_SPECIES
H 1.01 H.upf
Se 78.96 Se.upf
I 126.90 I.upf
CELL_PARAMETERS angstrom
4.579 0.000 0.000
0.000 4.579 0.000
0.000 0.000 4.579
ATOMIC_POSITIONS angstrom
H 0.000 0.000 0.000
Se 0.000 0.000 2.289
Se 0.000 2.289 0.000
Se 2.289 0.000 0.000
I 2.289 2.289 2.289
! **Total moment**: 0.00 μB/f.u.
! **Calculated volume**: 19.2 Å³/atom
! **Crystal system**: cubic
! **ρ**: 6.31 g/cm³
! **Space group**: Pm-3m


<Q>
! HSe3I | Alexandria via LeMat-Bulk | PBE-GGA | optimized geometry; values from VASP
&SYSTEM
  ibrav = 0, nat = 5, ntyp = 3
/
ATOMIC_SPECIES
H 1.01 H.upf
Se 78.96 Se.upf
I 126.90 I.upf
CELL_PARAMETERS angstrom
5.478 0.000 0.000
0.000 5.478 0.000
0.000 0.000 5.478
ATOMIC_POSITIONS angstrom
H 0.000 0.000 0.000
Se 0.000 2.739 2.739
Se 2.739 0.000 2.739
Se 2.739 2.739 0.000
I 2.739 2.739 2.739
! **Total moment**: 0.96 μB/f.u.
! **Calculated volume**: 32.9 Å³/atom
! **Crystal system**: cubic
! **ρ**: 3.68 g/cm³
! **Space group**: Pm-3m


<P> takes first place; second place is 384 meV/atom up.


<P>
! HSeI | Alexandria via LeMat-Bulk | PBE-GGA | optimized geometry; values from VASP
&SYSTEM
  ibrav = 0, nat = 3, ntyp = 3
/
ATOMIC_SPECIES
H 1.01 H.upf
Se 78.96 Se.upf
I 126.90 I.upf
CELL_PARAMETERS angstrom
4.342 -2.697 0.000
4.342 2.697 0.000
-2.300 0.000 4.394
ATOMIC_POSITIONS angstrom
H 0.000 0.000 0.000
Se -0.820 0.000 4.169
I 5.945 0.000 0.573
! **Total moment**: 0.00 μB/f.u.
! **Calculated volume**: 34.3 Å³/atom
! **Crystal system**: monoclinic
! **ρ**: 3.34 g/cm³
! **Space group**: Cm


<Q>
! HSeI | Alexandria via LeMat-Bulk | PBE-GGA | optimized geometry; values from VASP
&SYSTEM
  ibrav = 0, nat = 12, ntyp = 3
/
ATOMIC_SPECIES
H 1.01 H.upf
Se 78.96 Se.upf
I 126.90 I.upf
CELL_PARAMETERS angstrom
5.878 0.000 0.000
-2.498 8.549 0.000
-0.294 -4.079 8.820
ATOMIC_POSITIONS angstrom
H -0.889 3.179 1.970
H 1.040 1.044 6.349
H 2.045 3.426 2.470
H 3.975 1.291 6.849
Se -0.885 4.991 6.892
Se -0.397 6.964 2.409
Se 3.482 -2.494 6.410
Se 3.970 -0.522 1.928
I -0.105 0.561 5.229
I 0.255 2.630 0.880
I 2.831 1.840 7.940
I 3.190 3.908 3.590
! **Total moment**: 1.00 μB/f.u.
! **Calculated volume**: 36.9 Å³/atom
! **Crystal system**: triclinic
! **ρ**: 3.10 g/cm³
! **Space group**: P-1


<P> takes first place; second place is 138 meV/atom up.


<P>
! HSeI | Alexandria via LeMat-Bulk | PBE-GGA | optimized geometry; values from VASP
&SYSTEM
  ibrav = 0, nat = 6, ntyp = 3
/
ATOMIC_SPECIES
H 1.01 H.upf
Se 78.96 Se.upf
I 126.90 I.upf
CELL_PARAMETERS angstrom
2.984 0.000 0.000
0.017 5.723 0.000
1.360 0.030 11.065
ATOMIC_POSITIONS angstrom
H 0.689 1.445 4.111
H 3.672 4.309 6.954
Se 0.692 4.307 5.424
Se 3.668 1.446 5.642
I 0.705 1.432 1.652
I 3.656 4.321 9.413
! **Total moment**: 0.00 μB/f.u.
! **Calculated volume**: 31.5 Å³/atom
! **Crystal system**: triclinic
! **ρ**: 3.64 g/cm³
! **Space group**: P-1


<Q>
! HSeI | Alexandria via LeMat-Bulk | PBE-GGA | optimized geometry; values from VASP
&SYSTEM
  ibrav = 0, nat = 3, ntyp = 3
/
ATOMIC_SPECIES
H 1.01 H.upf
Se 78.96 Se.upf
I 126.90 I.upf
CELL_PARAMETERS angstrom
4.896 0.000 0.000
2.418 4.564 0.000
1.270 2.195 4.696
ATOMIC_POSITIONS angstrom
H 0.000 0.000 0.000
Se 5.247 1.246 0.745
I 2.953 4.419 3.122
! **Total moment**: 0.00 μB/f.u.
! **Calculated volume**: 35.0 Å³/atom
! **Crystal system**: triclinic
! **ρ**: 3.27 g/cm³
! **Space group**: P1


<Q> takes first place; second place is 41 meV/atom up.


<P>
! HSeI2 | Alexandria via LeMat-Bulk | PBE-GGA | optimized geometry; values from VASP
&SYSTEM
  ibrav = 0, nat = 16, ntyp = 3
/
ATOMIC_SPECIES
H 1.01 H.upf
Se 78.96 Se.upf
I 126.90 I.upf
CELL_PARAMETERS angstrom
7.484 0.000 0.000
0.000 14.730 0.000
-0.475 0.000 5.338
ATOMIC_POSITIONS angstrom
H 0.290 3.230 2.587
H 0.053 4.135 5.256
H 6.956 10.594 0.082
H 6.718 11.500 2.751
Se 2.494 7.849 2.215
Se 2.256 14.246 4.884
Se 4.752 0.484 0.454
Se 4.515 6.881 3.123
I 0.663 1.963 1.586
I 0.425 5.401 4.255
I 2.538 9.851 3.815
I 2.776 12.243 1.146
I 4.232 2.487 4.192
I 4.470 4.878 1.523
I 6.583 9.328 1.083
I 6.346 12.766 3.752
! **Total moment**: 0.00 μB/f.u.
! **Calculated volume**: 36.8 Å³/atom
! **Crystal system**: monoclinic
! **ρ**: 3.77 g/cm³
! **Space group**: P2_1/c


<Q>
! HSeI2 | Alexandria via LeMat-Bulk | PBE-GGA | optimized geometry; values from VASP
&SYSTEM
  ibrav = 0, nat = 8, ntyp = 3
/
ATOMIC_SPECIES
H 1.01 H.upf
Se 78.96 Se.upf
I 126.90 I.upf
CELL_PARAMETERS angstrom
-3.558 3.558 3.970
3.558 -3.558 3.970
3.558 3.558 -3.970
ATOMIC_POSITIONS angstrom
H 0.000 0.000 0.000
H 0.000 3.558 1.985
Se 3.558 0.000 1.985
Se 0.000 0.000 3.970
I 5.336 1.336 -0.993
I 1.336 1.779 0.993
I -1.779 2.222 2.978
I 2.222 1.779 4.963
! **Total moment**: 0.00 μB/f.u.
! **Calculated volume**: 25.1 Å³/atom
! **Crystal system**: tetragonal
! **ρ**: 5.51 g/cm³
! **Space group**: I-42d


<P> takes first place; second place is 614 meV/atom up.


<P>
! H4SeI3 | Alexandria via LeMat-Bulk | PBE-GGA | optimized geometry; values from VASP
&SYSTEM
  ibrav = 0, nat = 16, ntyp = 3
/
ATOMIC_SPECIES
H 1.01 H.upf
Se 78.96 Se.upf
I 126.90 I.upf
CELL_PARAMETERS angstrom
16.922 0.000 0.000
0.000 5.559 0.000
0.000 0.000 6.392
ATOMIC_POSITIONS angstrom
H 0.000 0.363 0.000
H 0.000 4.400 4.697
H 4.076 2.477 2.491
H 4.384 3.081 5.687
H 8.461 1.158 1.501
H 8.461 5.196 3.196
H 12.537 3.081 5.687
H 12.845 2.477 2.491
Se 0.000 4.441 6.367
Se 8.461 1.117 3.171
I 0.000 4.036 2.819
I 3.879 1.374 1.270
I 4.582 4.185 4.466
I 8.461 1.522 6.015
I 12.339 4.185 4.466
I 13.043 1.374 1.270
! **Total moment**: 0.00 μB/f.u.
! **Calculated volume**: 37.6 Å³/atom
! **Crystal system**: orthorhombic
! **ρ**: 2.56 g/cm³
! **Space group**: Pmn2_1


<Q>
! H4SeI3 | Alexandria via LeMat-Bulk | PBE-GGA | optimized geometry; values from VASP
&SYSTEM
  ibrav = 0, nat = 8, ntyp = 3
/
ATOMIC_SPECIES
H 1.01 H.upf
Se 78.96 Se.upf
I 126.90 I.upf
CELL_PARAMETERS angstrom
-2.613 8.093 3.057
2.613 -8.093 3.057
2.613 8.093 -3.057
ATOMIC_POSITIONS angstrom
H 0.000 1.928 0.000
H 1.548 8.093 -0.791
H 1.064 0.000 2.266
H 0.000 14.259 0.000
Se 0.000 0.000 1.205
I 2.613 5.074 1.775
I 0.000 8.093 1.440
I 0.000 3.019 4.833
! **Total moment**: 1.06 μB/f.u.
! **Calculated volume**: 32.3 Å³/atom
! **Crystal system**: orthorhombic
! **ρ**: 2.98 g/cm³
! **Space group**: Imm2


<P> takes first place; second place is 15 meV/atom up.


<P>
! Si2HI | Alexandria via LeMat-Bulk | PBE-GGA | optimized geometry; values from VASP
&SYSTEM
  ibrav = 0, nat = 8, ntyp = 3
/
ATOMIC_SPECIES
Si 28.09 Si.upf
H 1.01 H.upf
I 126.90 I.upf
CELL_PARAMETERS angstrom
3.974 0.000 0.000
0.000 6.671 0.000
-1.802 -1.036 8.124
ATOMIC_POSITIONS angstrom
Si 0.000 1.138 0.302
Si 0.185 1.198 7.710
Si 1.987 4.438 0.414
Si 2.172 4.498 7.822
H 0.188 1.240 6.210
H 1.985 4.395 1.913
I 0.000 1.159 2.786
I 2.172 4.477 5.337
! **Total moment**: 0.00 μB/f.u.
! **Calculated volume**: 26.9 Å³/atom
! **Crystal system**: triclinic
! **ρ**: 2.84 g/cm³
! **Space group**: P-1


<Q>
! Si2HI | Alexandria via LeMat-Bulk | PBE-GGA | optimized geometry; values from VASP
&SYSTEM
  ibrav = 0, nat = 8, ntyp = 3
/
ATOMIC_SPECIES
Si 28.09 Si.upf
H 1.01 H.upf
I 126.90 I.upf
CELL_PARAMETERS angstrom
3.954 0.000 0.000
-0.599 5.098 0.000
-0.209 -0.411 9.555
ATOMIC_POSITIONS angstrom
Si 0.000 0.000 0.000
Si -0.137 1.318 2.267
Si 0.439 3.172 0.920
Si 1.831 -0.058 2.297
H 1.500 2.611 0.021
H 1.306 4.416 3.661
I 1.193 4.695 7.636
I 3.508 2.134 4.693
! **Total moment**: 0.00 μB/f.u.
! **Calculated volume**: 24.1 Å³/atom
! **Crystal system**: triclinic
! **ρ**: 3.17 g/cm³
! **Space group**: P1


<R>
! Si2HI | Alexandria via LeMat-Bulk | PBE-GGA | optimized geometry; values from VASP
&SYSTEM
  ibrav = 0, nat = 8, ntyp = 3
/
ATOMIC_SPECIES
Si 28.09 Si.upf
H 1.01 H.upf
I 126.90 I.upf
CELL_PARAMETERS angstrom
-2.501 2.501 6.510
2.501 -2.501 6.510
2.501 2.501 -6.510
ATOMIC_POSITIONS angstrom
Si 0.131 1.250 1.628
Si -1.250 2.370 4.883
Si -0.131 3.751 1.628
Si 1.250 2.631 4.883
H 0.000 0.000 0.000
H 0.000 2.501 3.255
I 2.501 0.000 3.255
I 0.000 0.000 6.510
! **Total moment**: 0.00 μB/f.u.
! **Calculated volume**: 20.4 Å³/atom
! **Crystal system**: tetragonal
! **ρ**: 3.75 g/cm³
! **Space group**: I-42d


<S>
! Si2HI | Alexandria via LeMat-Bulk | PBE-GGA | optimized geometry; values from VASP
&SYSTEM
  ibrav = 0, nat = 8, ntyp = 3
/
ATOMIC_SPECIES
Si 28.09 Si.upf
H 1.01 H.upf
I 126.90 I.upf
CELL_PARAMETERS angstrom
3.977 0.000 0.000
0.000 5.951 0.000
-1.937 0.000 8.712
ATOMIC_POSITIONS angstrom
Si 0.027 0.000 3.470
Si 0.025 4.288 5.145
Si 2.015 1.313 3.568
Si 2.013 2.975 5.243
H 0.025 5.301 2.118
H 2.015 2.326 6.594
I 0.027 5.581 7.284
I 2.013 2.605 1.428
! **Total moment**: 0.00 μB/f.u.
! **Calculated volume**: 25.8 Å³/atom
! **Crystal system**: monoclinic
! **ρ**: 2.97 g/cm³
! **Space group**: P2_1


<P> takes first place; second place is 11 meV/atom up.